Entry 1:
Here is a relaxed structure of SiTcMo2 from Alexandria via LeMat-Bulk. Energies are from GGA-PBE.

Its symmetry is P4/mmm, No. 123. For the energy relative to the elements, uncorrected, the calculation gives -0.016 eV/atom.

a b c (Å): 4.2313 3.7284 3.7284
angles (deg): 90.00 90.00 90.00
Closest atoms and distances in Å follow each position.
Atoms (fractional coordinates):
Mo1 0.0000 0.0000 0.0000  4 Mo 2.64, 4 Tc 2.82, 4 Si 2.82
Mo2 0.0000 0.5000 0.5000  4 Mo 2.64, 4 Tc 2.82, 4 Si 2.82
Si1 0.5000 0.5000 0.0000  4 Tc 2.64, 8 Mo 2.82
Tc1 0.5000 0.0000 0.5000  4 Si 2.64, 8 Mo 2.82

Entry 2:
Here is a relaxed structure of Si4Tc2Mo from Alexandria via LeMat-Bulk. Energies are from GGA-PBE.

Its symmetry is I4/mmm, No. 139. For the energy relative to the elements, uncorrected, the calculation gives 0.606 eV/atom.

a b c (Å): 4.5332 4.5332 6.9096
angles (deg): 70.85 70.85 90.00
Closest atoms and distances in Å follow each position.
Atoms (fractional coordinates):
Mo1 0.0000 0.0000 0.0000  6 Si 2.27-2.51
Tc1 0.6046 0.6046 0.7908  5 Si 2.33-2.60, 1 Tc 2.56
Tc2 0.3954 0.3954 0.2092  5 Si 2.33-2.60, 1 Tc 2.56
Si1 0.7951 0.7951 0.4098  1 Tc 2.33, 1 Mo 2.51
Si2 0.0000 0.5000 0.0000  2 Mo 2.27
Si3 0.2049 0.2049 0.5902  1 Tc 2.33, 1 Mo 2.51
Si4 0.5000 0.0000 0.0000  2 Mo 2.27

Entry 3:
Here is a relaxed structure of SiTc3Mo from Alexandria via LeMat-Bulk. Energies are from GGA-PBE.

Its symmetry is Pm-3m, No. 221. For the energy relative to the elements, uncorrected, the calculation gives 1.847 eV/atom.

a b c (Å): 4.6597 4.6597 4.6597
angles (deg): 90.00 90.00 90.00
Closest atoms and distances in Å follow each position.
Atoms (fractional coordinates):
Si1 0.5000 0.5000 0.5000  12 Tc 3.29
Tc1 0.5000 0.0000 0.0000  2 Mo 2.33
Tc2 0.0000 0.5000 0.0000  2 Mo 2.33
Tc3 0.0000 0.0000 0.5000  2 Mo 2.33
Mo1 0.0000 0.0000 0.0000  6 Tc 2.33

Entry 4:
Here is a relaxed structure of SiTcMo2 from Alexandria via LeMat-Bulk. Energies are from GGA-PBE.

Its symmetry is Cmmm, No. 65. For the energy relative to the elements, uncorrected, the calculation gives -0.022 eV/atom.

a b c (Å): 4.7750 4.7750 2.8672
angles (deg): 90.00 90.00 114.90
Closest atoms and distances in Å follow each position.
Atoms (fractional coordinates):
Mo1 0.5000 0.5000 0.0000  4 Mo 2.57-2.87, 4 Tc 2.78, 4 Si 2.78
Mo2 0.0000 0.0000 0.0000  4 Mo 2.57-2.87, 4 Si 2.78, 4 Tc 2.78
Tc1 0.0000 0.5000 0.5000  2 Si 2.57, 8 Mo 2.78, 2 Tc 2.87
Si1 0.5000 0.0000 0.5000  2 Tc 2.57, 8 Mo 2.78, 2 Si 2.87

Entry 5:
Here is a relaxed structure of SiTc2Mo2 from Alexandria via LeMat-Bulk. Energies are from GGA-PBE.

Its symmetry is P4/mbm, No. 127. For the energy relative to the elements, uncorrected, the calculation gives 0.418 eV/atom.

a b c (Å): 7.3832 7.3832 2.9552
angles (deg): 90.00 90.00 90.00
Closest atoms and distances in Å follow each position.
Atoms (fractional coordinates):
Mo1 0.6518 0.1518 0.0000  6 Tc 2.60-2.63, 2 Si 2.80
Mo2 0.3482 0.8482 0.0000  6 Tc 2.60-2.63, 2 Si 2.80
Mo3 0.8482 0.6518 0.0000  6 Tc 2.60-2.63, 2 Si 2.80
Mo4 0.1518 0.3482 0.0000  6 Tc 2.60-2.63, 2 Si 2.80
Tc1 0.6432 0.8568 0.5000  6 Mo 2.60-2.63
Tc2 0.3568 0.1432 0.5000  6 Mo 2.60-2.63
Tc3 0.1432 0.6432 0.5000  6 Mo 2.60-2.63
Tc4 0.8568 0.3568 0.5000  6 Mo 2.60-2.63
Si1 0.5000 0.5000 0.0000  4 Mo 2.80, 2 Si 2.96
Si2 0.0000 0.0000 0.0000  4 Mo 2.80, 2 Si 2.96

Entry 6:
Here is a relaxed structure of SiTcMo2 from Alexandria via LeMat-Bulk. Energies are from GGA-PBE.

Its symmetry is C2/m, No. 12. For the energy relative to the elements, uncorrected, the calculation gives -0.027 eV/atom.

a b c (Å): 5.1845 4.9695 2.7942
angles (deg): 82.53 73.16 116.11
Closest atoms and distances in Å follow each position.
Atoms (fractional coordinates):
Mo1 0.5000 0.0000 0.5000  4 Mo 2.56-2.79, 2 Si 2.69, 2 Tc 2.69
Mo2 0.0000 0.0000 0.0000  4 Mo 2.56-2.79, 2 Tc 2.69, 2 Si 2.69
Si1 0.0000 0.5000 0.5000  2 Tc 2.56, 4 Mo 2.69, 2 Si 2.79
Tc1 0.5000 0.5000 0.0000  2 Si 2.56, 4 Mo 2.69, 2 Tc 2.79

Which formula does entry 6 have?
SiTcMo2

Among the records above, which one has the lowest energy relative to the elements, uncorrected?
number 6

What is the formula in the second record?
Si4Tc2Mo

Which of these has the lowest energy relative to the elements, uncorrected?
number 6